1.
Compound: LiLaW
Source: Alexandria
Functional: GGA-PBEsol
Structure: relaxed Values from VASP.

Structure (Quantum ESPRESSO input):
```
&SYSTEM
  ibrav = 0, nat = 6, ntyp = 3
/
ATOMIC_SPECIES
Li 6.94 Li.upf
La 138.91 La.upf
W 183.84 W.upf
ATOMIC_POSITIONS crystal
Li 0.0000 0.0000 0.0000
Li 0.5000 0.5000 0.5000
La 0.0000 0.0000 0.3033
La 0.5000 0.5000 0.8033
W 0.0000 0.0000 0.6358
W 0.5000 0.5000 0.1358
CELL_PARAMETERS angstrom
2.8223 0.0000 0.0000
0.0000 2.8223 0.0000
0.0000 0.0000 15.2213
```

Results
**Calculated formation energy**: 2.009 eV/f.u.
**Crystal system**: tetragonal

2.
Compound: TlSbPb
Source: Alexandria
Functional: GGA-PBEsol
Structure: relaxed Values from VASP.

Structure (Quantum ESPRESSO input):
```
&SYSTEM
  ibrav = 0, nat = 12, ntyp = 3
/
ATOMIC_SPECIES
Tl 204.38 Tl.upf
Sb 121.76 Sb.upf
Pb 207.20 Pb.upf
ATOMIC_POSITIONS crystal
Tl 0.0000 0.0000 0.0000
Tl 0.0000 0.5000 0.5000
Tl 0.5000 0.0000 0.5000
Tl 0.5000 0.5000 0.0000
Sb 0.0000 0.0000 0.3363
Sb 0.0000 0.5000 0.8363
Sb 0.5000 0.0000 0.8363
Sb 0.5000 0.5000 0.3363
Pb 0.0000 0.0000 0.6781
Pb 0.0000 0.5000 0.1781
Pb 0.5000 0.0000 0.1781
Pb 0.5000 0.5000 0.6781
CELL_PARAMETERS angstrom
4.1100 0.0000 0.0000
0.0000 5.3640 0.0000
0.0000 0.0000 15.5037
```

Results
**Formation energy without anion corrections**: 16 kJ/mol of formula units
**Crystal system**: orthorhombic

3.
Compound: LaAlRe
Source: Alexandria
Functional: GGA-PBEsol
Structure: relaxed Values from VASP.

Structure (Quantum ESPRESSO input):
```
&SYSTEM
  ibrav = 0, nat = 12, ntyp = 3
/
ATOMIC_SPECIES
La 138.91 La.upf
Al 26.98 Al.upf
Re 186.21 Re.upf
ATOMIC_POSITIONS crystal
La 0.0000 0.0000 0.0000
La 0.0000 0.5000 0.5000
La 0.5000 0.0000 0.5000
La 0.5000 0.5000 0.0000
Al 0.2500 0.2500 0.2500
Al 0.2500 0.7500 0.7500
Al 0.7500 0.2500 0.7500
Al 0.7500 0.7500 0.2500
Re 0.0000 0.0000 0.5000
Re 0.0000 0.5000 0.0000
Re 0.5000 0.0000 0.0000
Re 0.5000 0.5000 0.5000
CELL_PARAMETERS angstrom
6.4429 0.0000 0.0000
0.0000 6.4429 0.0000
0.0000 0.0000 6.4429
```

Results
**Calculated formation energy**: 1.988 eV/f.u.
**Crystal system**: cubic

no.,magnetization (μB per formula unit),DFT total energy (eV per atom)
1,0.000,-6.3705
2,0.000,-3.6731
3,0.022,-6.9272